Density functional theory data (PBE) for a relaxed SmSc3Cu8 crystal.

The value obtained for the calculated formation energy is -0.210 eV/atom. Its crystal system is trigonal. The density of states at the Fermi level is 7.517 states/eV/f.u. Its electronic total energy is -4.917 eV/atom.

The space group is P3m1 (No. 156) and the conventional cell measures 5.1352, 5.1352 and 8.3231 Å, with angles of 90.00, 90.00 and 120.00 degrees. Symmetry generates all atoms from Sm at (0.0000, 0.0000, 0.0000), Sc at (0.0000, 0.0000, 0.3953), Sc at (0.6667, 0.3333, 0.4836), Sc at (0.6667, 0.3333, 0.8601), Cu at (0.1672, 0.3344, 0.6799), Cu at (0.3333, 0.6667, 0.4316), Cu at (0.3333, 0.6667, 0.9337) and Cu at (0.5017, 0.0035, 0.1904).